(1)
Crystalline PaGeS3 at its relaxed geometry, computed with PBE-GGA.

Formation energy from raw total energies (eV/atom): -1.040
Distance to the lowest polymorph of the same formula (meV/atom): 0.0
Spin magnetization (μB/f.u.): 0.897
Symmetry: P2_1/m (11)

abc: 4.008 6.933 14.153
angles: 133.84 90.00 90.00
Each line ends with the local moment (μB).
Fractional coordinates of all 10 atoms:
Pa  0.250  0.356  0.582  0.84
Pa  0.750  0.644  0.418  0.84
S  0.250  0.772  0.858  -0.01
S  0.250  0.308  0.367  -0.03
S  0.750  0.692  0.633  -0.03
S  0.250  0.819  0.365  -0.03
S  0.750  0.181  0.635  -0.03
S  0.750  0.228  0.142  -0.01
Ge  0.750  0.018  0.883  0.01
Ge  0.250  0.982  0.117  0.01


(2)
Crystalline Li5Ac3Cl12 at its relaxed geometry, computed with PBE-GGA.

Formation energy from raw total energies (eV/atom): -1.992
Spin magnetization (μB/f.u.): 0.000
Symmetry: Ia-3d (230)

abc: 13.606 13.606 13.606
angles: 109.47 109.47 109.47
Fractional coordinates of all 80 atoms:
Li  0.500  0.000  0.000
Li  0.250  0.375  0.625
Li  0.000  0.500  0.500
Li  0.875  0.625  0.750
Li  0.375  0.250  0.125
Li  0.125  0.750  0.375
Li  0.875  0.250  0.625
Li  0.500  0.500  0.000
Li  0.625  0.875  0.250
Li  0.375  0.125  0.750
Li  0.000  0.000  0.000
Li  0.750  0.125  0.875
Li  0.750  0.625  0.375
Li  0.500  0.000  0.500
Li  0.125  0.375  0.250
Li  0.000  0.000  0.500
Li  0.000  0.500  0.000
Li  0.625  0.750  0.875
Li  0.500  0.500  0.500
Li  0.250  0.875  0.125
Cl  0.907  0.091  0.883
Cl  0.208  0.683  0.091
Cl  0.117  0.708  0.525
Cl  0.183  0.093  0.975
Cl  0.091  0.907  0.383
Cl  0.909  0.093  0.617
Cl  0.883  0.591  0.907
Cl  0.407  0.025  0.317
Cl  0.409  0.292  0.317
Cl  0.317  0.792  0.409
Cl  0.475  0.683  0.093
Cl  0.093  0.909  0.117
Cl  0.025  0.617  0.708
Cl  0.409  0.117  0.593
Cl  0.525  0.317  0.907
Cl  0.383  0.407  0.091
Cl  0.593  0.617  0.409
Cl  0.117  0.409  0.093
Cl  0.909  0.817  0.792
Cl  0.317  0.525  0.407
Cl  0.025  0.407  0.817
Cl  0.907  0.817  0.525
Cl  0.708  0.117  0.025
Cl  0.593  0.975  0.683
Cl  0.407  0.383  0.591
Cl  0.093  0.183  0.475
Cl  0.183  0.091  0.708
Cl  0.792  0.317  0.909
Cl  0.591  0.708  0.683
Cl  0.817  0.909  0.292
Cl  0.975  0.383  0.292
Cl  0.708  0.591  0.183
Cl  0.975  0.593  0.183
Cl  0.792  0.475  0.383
Cl  0.617  0.025  0.208
Cl  0.617  0.593  0.909
Cl  0.208  0.525  0.617
Cl  0.883  0.292  0.475
Cl  0.591  0.883  0.407
Cl  0.383  0.975  0.792
Cl  0.817  0.907  0.025
Cl  0.475  0.792  0.883
Cl  0.292  0.409  0.817
Cl  0.292  0.883  0.975
Cl  0.683  0.475  0.593
Cl  0.525  0.208  0.117
Cl  0.091  0.183  0.208
Cl  0.683  0.208  0.591
Ac  0.375  0.625  0.250
Ac  0.250  0.625  0.875
Ac  0.125  0.250  0.875
Ac  0.375  0.750  0.625
Ac  0.875  0.750  0.125
Ac  0.750  0.875  0.625
Ac  0.750  0.375  0.125
Ac  0.875  0.125  0.250
Ac  0.625  0.375  0.750
Ac  0.625  0.250  0.375
Ac  0.250  0.125  0.375
Ac  0.125  0.875  0.750


(3)
Crystalline DyPaNi2 at its relaxed geometry, computed with PBE-GGA.

Formation enthalpy at 0 K (eV per atom): -0.36
Distance to the lowest polymorph of the same formula (meV/atom): 0.0
Spin magnetization (μB/f.u.): 0.000
Symmetry: P2_1/m (11)

abc: 4.287 6.180 6.701
angles: 122.88 90.00 90.00
Fractional coordinates of all 8 atoms:
Pa  0.750  0.803  0.402
Pa  0.250  0.197  0.598
Dy  0.750  0.769  0.885
Dy  0.250  0.231  0.115
Ni  0.250  0.667  0.568
Ni  0.750  0.333  0.900
Ni  0.250  0.667  0.100
Ni  0.750  0.333  0.432


Question: What is the formula in the first record?
Answer: PaGeS3